(1)
Compound: VTcBi3
Source: Alexandria via LeMat-Bulk
Functional: PBE-GGA
Structure: optimized geometry

a b c (Å): 5.309 5.309 5.309
angles (deg): 90.00 90.00 90.00
Last column: magnetic moment on the atom in μB.
Fractional coordinates of all 5 atoms:
Tc (0.000, 0.000, 0.000)  0.46
Bi (0.000, 0.500, 0.000)  -0.04
Bi (0.500, 0.000, 0.000)  -0.04
Bi (0.000, 0.000, 0.500)  -0.04
V (0.500, 0.500, 0.500)  3.06

Summary:
Energy of formation from the pure elements, meV per atom: 992
Spin magnetization, μB/atom: 0.84
Energy relative to the lowest polymorph listed for this composition, eV per formula unit: 0.00
VASP energy, Ha/atom: -0.192

---

(2)
Compound: TbPr2Er2
Source: Alexandria via LeMat-Bulk
Functional: PBE-GGA
Structure: optimized geometry

a b c (Å): 3.592 3.593 15.167
angles (deg): 96.76 83.20 60.00
Fractional coordinates of all 5 atoms:
Er (0.359, 0.976, 0.306)
Er (0.641, 0.024, 0.694)
Pr (0.225, 0.443, 0.107)
Pr (0.775, 0.557, 0.893)
Tb (0.500, 0.500, 0.500)

Summary:
Energy of formation from the pure elements, meV per atom: 29
Spin magnetization, μB/atom: 0.00
Energy relative to the lowest polymorph listed for this composition, eV per formula unit: 0.00
VASP energy, Ha/atom: -0.170

---

(3)
Compound: Ta2CuOs
Source: Alexandria via LeMat-Bulk
Functional: PBE-GGA
Structure: optimized geometry

a b c (Å): 2.779 2.779 8.686
angles (deg): 90.00 90.00 108.10
Fractional coordinates of all 4 atoms:
Os (0.500, 0.500, 0.744)
Cu (0.000, 0.000, 0.507)
Ta (0.000, 0.000, 0.988)
Ta (0.500, 0.500, 0.261)

Summary:
Energy of formation from the pure elements, meV per atom: 159
Spin magnetization, μB/atom: 0.00
VASP energy, Ha/atom: -0.353

---

(4)
Compound: CdHg2P
Source: Alexandria via LeMat-Bulk
Functional: PBE-GGA
Structure: optimized geometry

a b c (Å): 3.337 3.337 8.530
angles (deg): 90.00 90.00 107.93
Fractional coordinates of all 4 atoms:
Hg (0.000, 0.000, 0.483)
Hg (0.000, 0.000, 0.017)
P (0.500, 0.500, 0.250)
Cd (0.500, 0.500, 0.750)

Summary:
Energy of formation from the pure elements, meV per atom: 368
Spin magnetization, μB/atom: 0.00
Energy relative to the lowest polymorph listed for this composition, eV per formula unit: 1.16
VASP energy, Ha/atom: -0.050